# ScTa2Tc (PBE, relaxed)
# - polymorph energy (0 for the lowest one) (meV/atom) = 259.1
# - crystal system = trigonal
# - total magnetic moment (μB/cell) = 0.0
# - ρ (Mg/m³) = 11.4
# - DFT formation energy (eV/atom) = 0.11
data_ScTa2Tc
_chemical_formula_sum 'Sc3 Ta6 Tc3'
_cell_length_a 3.0701
_cell_length_b 3.0701
_cell_length_c 27.0553
_cell_angle_alpha 90.00
_cell_angle_beta 90.00
_cell_angle_gamma 120.00
_symmetry_space_group_name_H-M 'R 3 m'
_symmetry_Int_Tables_number 160
_symmetry_space_group_name_Hall 'R 3 -2"'
loop_
_atom_site_label
_atom_site_type_symbol
_atom_site_fract_x
_atom_site_fract_y
_atom_site_fract_z
Sc1 Sc 0.0000 0.0000 0.0000
Ta1 Ta 0.0000 0.0000 0.5121
Ta2 Ta 0.0000 0.0000 0.7605
Tc1 Tc 0.0000 0.0000 0.2515

# ScTa2Tc (PBE, relaxed)
# - polymorph energy (0 for the lowest one) (meV/atom) = 579.0
# - crystal system = tetragonal
# - total magnetic moment (μB/cell) = 0.0
# - ρ (Mg/m³) = 10.6
# - DFT formation energy (eV/atom) = 0.43
data_ScTa2Tc
_chemical_formula_sum 'Sc4 Ta8 Tc4'
_cell_length_a 7.5049
_cell_length_b 7.5049
_cell_length_c 5.6212
_cell_angle_alpha 90.00
_cell_angle_beta 90.00
_cell_angle_gamma 90.00
_symmetry_space_group_name_H-M 'I -4 2 d'
_symmetry_Int_Tables_number 122
_symmetry_space_group_name_Hall 'I -4 2bw'
loop_
_atom_site_label
_atom_site_type_symbol
_atom_site_fract_x
_atom_site_fract_y
_atom_site_fract_z
Sc1 Sc 0.0000 0.0000 0.0000
Ta1 Ta 0.2043 0.2500 0.6250
Tc1 Tc 0.0000 0.0000 0.5000

# ScTaTc2 (PBE, relaxed)
# - polymorph energy (0 for the lowest one) (meV/atom) = 215.5
# - crystal system = monoclinic
# - total magnetic moment (μB/cell) = 0.0
# - ρ (Mg/m³) = 10.5
# - DFT formation energy (eV/atom) = -0.11
data_ScTaTc2
_chemical_formula_sum 'Sc1 Ta1 Tc2'
_cell_length_a 2.8684
_cell_length_b 4.2899
_cell_length_c 5.4510
_cell_angle_alpha 90.00
_cell_angle_beta 96.99
_cell_angle_gamma 90.00
_symmetry_space_group_name_H-M 'P 1 2/m 1'
_symmetry_Int_Tables_number 10
_symmetry_space_group_name_Hall '-P 2y'
loop_
_atom_site_label
_atom_site_type_symbol
_atom_site_fract_x
_atom_site_fract_y
_atom_site_fract_z
Sc1 Sc 0.0000 0.0000 0.0000
Ta1 Ta 0.5000 0.0000 0.5000
Tc1 Tc 0.2657 0.5000 0.7475

# ScTa2Tc (PBE, relaxed)
# - polymorph energy (0 for the lowest one) (meV/atom) = 55.3
# - crystal system = orthorhombic
# - total magnetic moment (μB/cell) = 0.0
# - ρ (Mg/m³) = 11.7
# - DFT formation energy (eV/atom) = -0.10
data_ScTa2Tc
_chemical_formula_sum 'Sc2 Ta4 Tc2'
_cell_length_a 3.2302
_cell_length_b 4.7266
_cell_length_c 9.3606
_cell_angle_alpha 90.00
_cell_angle_beta 90.00
_cell_angle_gamma 90.00
_symmetry_space_group_name_H-M 'I m m 2'
_symmetry_Int_Tables_number 44
_symmetry_space_group_name_Hall 'I 2 -2'
loop_
_atom_site_label
_atom_site_type_symbol
_atom_site_fract_x
_atom_site_fract_y
_atom_site_fract_z
Sc1 Sc 0.0000 0.0000 0.0000
Ta1 Ta 0.0000 0.0000 0.5368
Ta2 Ta 0.0000 0.5000 0.7737
Tc1 Tc 0.0000 0.5000 0.2582

# ScTa2Tc (PBE, relaxed)
# - polymorph energy (0 for the lowest one) (meV/atom) = 136.8
# - crystal system = orthorhombic
# - total magnetic moment (μB/cell) = 0.0
# - ρ (Mg/m³) = 11.6
# - DFT formation energy (eV/atom) = -0.02
data_ScTa2Tc
_chemical_formula_sum 'Sc2 Ta4 Tc2'
_cell_length_a 3.2682
_cell_length_b 4.8270
_cell_length_c 9.1512
_cell_angle_alpha 90.00
_cell_angle_beta 90.00
_cell_angle_gamma 90.00
_symmetry_space_group_name_H-M 'C m m 2'
_symmetry_Int_Tables_number 35
_symmetry_space_group_name_Hall 'C 2 -2'
loop_
_atom_site_label
_atom_site_type_symbol
_atom_site_fract_x
_atom_site_fract_y
_atom_site_fract_z
Sc1 Sc 0.0000 0.0000 0.0000
Ta1 Ta 0.0000 0.0000 0.4614
Ta2 Ta 0.0000 0.5000 0.7150
Tc1 Tc 0.0000 0.5000 0.2375

# ScTaTc2 (PBE, relaxed)
# - polymorph energy (0 for the lowest one) (meV/atom) = 208.9
# - crystal system = orthorhombic
# - total magnetic moment (μB/cell) = 0.0
# - ρ (Mg/m³) = 10.5
# - DFT formation energy (eV/atom) = -0.12
data_ScTaTc2
_chemical_formula_sum 'Sc2 Ta2 Tc4'
_cell_length_a 3.2363
_cell_length_b 4.7579
_cell_length_c 8.6827
_cell_angle_alpha 90.00
_cell_angle_beta 90.00
_cell_angle_gamma 90.00
_symmetry_space_group_name_H-M 'C m m m'
_symmetry_Int_Tables_number 65
_symmetry_space_group_name_Hall '-C 2 2'
loop_
_atom_site_label
_atom_site_type_symbol
_atom_site_fract_x
_atom_site_fract_y
_atom_site_fract_z
Sc1 Sc 0.0000 0.0000 0.0000
Ta1 Ta 0.0000 0.0000 0.5000
Tc1 Tc 0.0000 0.5000 0.2573

# ScTaTc2 (PBE, relaxed)
# - polymorph energy (0 for the lowest one) (meV/atom) = 390.8
# - crystal system = orthorhombic
# - total magnetic moment (μB/cell) = 0.0
# - ρ (Mg/m³) = 10.4
# - DFT formation energy (eV/atom) = 0.07
data_ScTaTc2
_chemical_formula_sum 'Sc1 Ta1 Tc2'
_cell_length_a 2.8889
_cell_length_b 4.4569
_cell_length_c 5.2544
_cell_angle_alpha 90.00
_cell_angle_beta 90.00
_cell_angle_gamma 90.00
_symmetry_space_group_name_H-M 'P m m 2'
_symmetry_Int_Tables_number 25
_symmetry_space_group_name_Hall 'P 2 -2'
loop_
_atom_site_label
_atom_site_type_symbol
_atom_site_fract_x
_atom_site_fract_y
_atom_site_fract_z
Sc1 Sc 0.0000 0.0000 0.0000
Ta1 Ta 0.5000 0.5000 0.2848
Tc1 Tc 0.0000 0.0000 0.5070
Tc2 Tc 0.5000 0.5000 0.7765

# ScTa2Tc (PBE, relaxed)
# - polymorph energy (0 for the lowest one) (meV/atom) = 173.9
# - crystal system = monoclinic
# - total magnetic moment (μB/cell) = 0.0
# - ρ (Mg/m³) = 11.8
# - DFT formation energy (eV/atom) = 0.02
data_ScTa2Tc
_chemical_formula_sum 'Sc2 Ta4 Tc2'
_cell_length_a 5.4931
_cell_length_b 9.4381
_cell_length_c 2.8807
_cell_angle_alpha 90.00
_cell_angle_beta 108.63
_cell_angle_gamma 90.00
_symmetry_space_group_name_H-M 'C 1 2/m 1'
_symmetry_Int_Tables_number 12
_symmetry_space_group_name_Hall '-C 2y'
loop_
_atom_site_label
_atom_site_type_symbol
_atom_site_fract_x
_atom_site_fract_y
_atom_site_fract_z
Sc1 Sc 0.0000 0.0000 0.0000
Ta1 Ta 0.2500 0.2500 0.5000
Tc1 Tc 0.0000 0.5000 0.0000

# ScTa2Tc (PBE, relaxed)
# - polymorph energy (0 for the lowest one) (meV/atom) = 186.2
# - crystal system = orthorhombic
# - total magnetic moment (μB/cell) = 0.0
# - ρ (Mg/m³) = 11.5
# - DFT formation energy (eV/atom) = 0.03
data_ScTa2Tc
_chemical_formula_sum 'Sc2 Ta4 Tc2'
_cell_length_a 3.2648
_cell_length_b 4.8012
_cell_length_c 9.3277
_cell_angle_alpha 90.00
_cell_angle_beta 90.00
_cell_angle_gamma 90.00
_symmetry_space_group_name_H-M 'C m m m'
_symmetry_Int_Tables_number 65
_symmetry_space_group_name_Hall '-C 2 2'
loop_
_atom_site_label
_atom_site_type_symbol
_atom_site_fract_x
_atom_site_fract_y
_atom_site_fract_z
Sc1 Sc 0.0000 0.0000 0.0000
Ta1 Ta 0.0000 0.5000 0.2750
Tc1 Tc 0.0000 0.0000 0.5000

# ScTa4Tc5 (PBE, relaxed)
# - crystal system = tetragonal
# - total magnetic moment (μB/cell) = 0.0
# - ρ (Mg/m³) = 12.8
# - DFT formation energy (eV/atom) = -0.44
data_ScTa4Tc5
_chemical_formula_sum 'Sc1 Ta4 Tc5'
_cell_length_a 3.1941
_cell_length_b 3.1941
_cell_length_c 16.0630
_cell_angle_alpha 90.00
_cell_angle_beta 90.00
_cell_angle_gamma 90.00
_symmetry_space_group_name_H-M 'P 4/m m m'
_symmetry_Int_Tables_number 123
_symmetry_space_group_name_Hall '-P 4 2'
loop_
_atom_site_label
_atom_site_type_symbol
_atom_site_fract_x
_atom_site_fract_y
_atom_site_fract_z
Sc1 Sc 0.0000 0.0000 0.0000
Ta1 Ta 0.0000 0.0000 0.1999
Ta2 Ta 0.0000 0.0000 0.4001
Tc1 Tc 0.5000 0.5000 0.1082
Tc2 Tc 0.5000 0.5000 0.3035
Tc3 Tc 0.5000 0.5000 0.5000

# ScTa2Tc3 (PBE, relaxed)
# - crystal system = tetragonal
# - total magnetic moment (μB/cell) = 0.0
# - ρ (Mg/m³) = 11.8
# - DFT formation energy (eV/atom) = -0.39
data_ScTa2Tc3
_chemical_formula_sum 'Sc1 Ta2 Tc3'
_cell_length_a 3.1930
_cell_length_b 3.1930
_cell_length_c 9.7110
_cell_angle_alpha 90.00
_cell_angle_beta 90.00
_cell_angle_gamma 90.00
_symmetry_space_group_name_H-M 'P 4/m m m'
_symmetry_Int_Tables_number 123
_symmetry_space_group_name_Hall '-P 4 2'
loop_
_atom_site_label
_atom_site_type_symbol
_atom_site_fract_x
_atom_site_fract_y
_atom_site_fract_z
Sc1 Sc 0.0000 0.0000 0.0000
Ta1 Ta 0.0000 0.0000 0.3330
Tc1 Tc 0.5000 0.5000 0.1779
Tc2 Tc 0.5000 0.5000 0.5000

# ScTa2Tc (PBE, relaxed)
# - polymorph energy (0 for the lowest one) (meV/atom) = 0.0
# - crystal system = orthorhombic
# - total magnetic moment (μB/cell) = 0.0
# - ρ (Mg/m³) = 11.6
# - DFT formation energy (eV/atom) = -0.15
data_ScTa2Tc
_chemical_formula_sum 'Sc2 Ta4 Tc2'
_cell_length_a 3.2421
_cell_length_b 4.7022
_cell_length_c 9.4653
_cell_angle_alpha 90.00
_cell_angle_beta 90.00
_cell_angle_gamma 90.00
_symmetry_space_group_name_H-M 'I m m m'
_symmetry_Int_Tables_number 71
_symmetry_space_group_name_Hall '-I 2 2'
loop_
_atom_site_label
_atom_site_type_symbol
_atom_site_fract_x
_atom_site_fract_y
_atom_site_fract_z
Sc1 Sc 0.0000 0.0000 0.0000
Ta1 Ta 0.0000 0.5000 0.2261
Tc1 Tc 0.0000 0.0000 0.5000